Entry from Alexandria via LeMat-Bulk: Sm2CdHg2 after structural relaxation (PBE).

Calculated values
Size of the total moment, μB/f.u.: 0.00
Space-group type: P-3m1, No. 164
Calculated formation energy, eV per atom: -0.233
DFT total energy, eV per atom: -2.424
Fermi-level density of states, states/eV/f.u.: 4.4
Energy relative to the lowest polymorph listed for this composition, meV/atom: 169.7

Cell lengths 5.2390, 5.2390, 6.3843 Å; angles 90.00, 90.00, 120.00 degrees
Positions (direct):
Sm 0.3333 0.6667 0.1914
Sm 0.6667 0.3333 0.8086
Cd 0.0000 0.0000 0.0000
Hg 0.3333 0.6667 0.6838
Hg 0.6667 0.3333 0.3162